Ho2ZrP3: relaxed, PBE.

Unit cell a=3.900 b=3.900 c=8.699 alpha=102.96 beta=102.96 gamma=89.99
Positions (direct):
Ho 0.101 0.102 0.207
Ho 0.768 0.769 0.541
Zr 0.434 0.436 0.874
P 0.934 0.936 0.874
P 0.272 0.273 0.549
P 0.597 0.598 0.199

The calculation puts the formation energy at -1.51 eV/atom. For the raw total energy, the calculation gives -7.1608 eV/atom. The symmetry is No. 139.

---

KNbBr2: relaxed, PBE.

Unit cell a=10.698 b=10.698 c=10.698 alpha=19.18 beta=19.18 gamma=19.18
Positions (direct):
Nb 0.500 0.500 0.500
K 0.000 0.000 0.000
Br 0.891 0.891 0.891
Br 0.109 0.109 0.109

The distance to the lowest polymorph of the same formula is 0 meV/atom. The energy relative to the elements, uncorrected is -1.21 eV per formula unit. For the raw total energy, the calculation gives -3.9300 eV/atom. The symmetry is No. 166.

---

NbCuPt: relaxed, PBE.

Unit cell a=3.806 b=3.809 c=6.645 alpha=89.98 beta=89.98 gamma=89.97
Positions (direct):
Nb 0.866 0.814 0.410
Nb 0.366 0.314 0.750
Cu 0.366 0.814 0.080
Cu 0.867 0.314 0.080
Pt 0.867 0.814 0.801
Pt 0.366 0.314 0.360

The distance to the lowest polymorph of the same formula is 152 meV/atom. The calculation puts the formation energy at -0.25 eV/atom. For the raw total energy, the calculation gives -6.9827 eV/atom. The symmetry is No. 129.

---

NdY2Ho: relaxed, PBE.

Unit cell a=3.666 b=6.790 c=6.787 alpha=114.98 beta=105.67 gamma=105.66
Positions (direct):
Nd 0.332 0.589 0.957
Y 0.333 0.093 0.457
Y 0.668 0.678 0.543
Ho 0.667 0.176 0.043

The distance to the lowest polymorph of the same formula is 7 meV/atom. The calculation puts the formation energy at 0.01 eV/atom. For the raw total energy, the calculation gives -5.5552 eV/atom. The symmetry is No. 8.

---

Size of the total moment for the records above, in order: 0.0; 0.0; 0.0; 0.0 μB/f.u.